CrSb2IBr | meta-GGA SCAN | PBEsol geometry Values from VASP.

Computed properties:
The density of states at the Fermi level comes out at 3.424 states/eV/f.u. The value obtained for the formation energy without anion corrections is 24 kJ per mole of atoms. The value obtained for the magnetic moment is 2.36 μB per formula unit. Its total energy is -147.9 eV per cell.

Cell and atoms, written as Quantum ESPRESSO input:
```
&SYSTEM
  ibrav = 0, nat = 5, ntyp = 4
/
ATOMIC_SPECIES
Cr 52.00 Cr.upf
Sb 121.76 Sb.upf
I 126.90 I.upf
Br 79.90 Br.upf
CELL_PARAMETERS angstrom
5.027 0.000 0.000
0.000 5.027 0.000
0.000 0.000 5.209
ATOMIC_POSITIONS crystal
Cr 0.000 0.000 0.000
Sb 0.000 0.500 0.000
Sb 0.500 0.000 0.000
I 0.000 0.000 0.500
Br 0.500 0.500 0.500
```